Compound: Tb4PmNd3
Source: Alexandria via LeMat-Bulk
Functional: PBE
Structure: optimized geometry

energy relative to the elements	0.0169	eV per atom
total magnetic moment	0.000	Bohr magnetons per cell
relative energy among the computed polymorphs	0	kJ/mol of formula units
calculated total energy	-37.440	eV per formula unit
symmetry	No. 53

a = 10.2423 Å, b = 7.2318 Å, c = 7.2324 Å
α = 90.00°, β = 90.00°, γ = 90.00°
With the nearest neighbours (Å) after each atom.
Positions (direct):
Tb 0.0000 0.0000 0.0000  6 Nd 3.62, 2 Pm 3.62, 4 Tb 3.62
Tb 0.0000 0.5000 0.5000  2 Pm 3.62, 6 Nd 3.62, 4 Tb 3.62
Tb 0.2500 0.2497 0.2500  6 Nd 3.61-3.62, 4 Tb 3.62, 2 Pm 3.62
Tb 0.2500 0.7503 0.7500  6 Nd 3.61-3.62, 2 Pm 3.62, 4 Tb 3.62
Tb 0.5000 0.0000 0.5000  6 Nd 3.62, 2 Pm 3.62, 4 Tb 3.62
Tb 0.5000 0.5000 0.0000  2 Pm 3.62, 6 Nd 3.62, 4 Tb 3.62
Tb 0.7500 0.2497 0.2500  6 Nd 3.61-3.62, 4 Tb 3.62, 2 Pm 3.62
Tb 0.7500 0.7503 0.7500  6 Nd 3.61-3.62, 4 Tb 3.62, 2 Pm 3.62
Pm 0.0000 0.0000 0.5000  8 Tb 3.62, 4 Nd 3.62
Pm 0.5000 0.0000 0.0000  8 Tb 3.62, 4 Nd 3.62
Nd 0.0000 0.5000 0.0000  8 Tb 3.62, 4 Nd 3.62
Nd 0.2500 0.2496 0.7500  8 Tb 3.61-3.62, 2 Pm 3.62, 2 Nd 3.62
Nd 0.2500 0.7504 0.2500  8 Tb 3.61-3.62, 2 Pm 3.62, 2 Nd 3.62
Nd 0.5000 0.5000 0.5000  8 Tb 3.62, 4 Nd 3.62
Nd 0.7500 0.2496 0.7500  8 Tb 3.61-3.62, 2 Pm 3.62, 2 Nd 3.62
Nd 0.7500 0.7504 0.2500  8 Tb 3.61-3.62, 2 Pm 3.62, 2 Nd 3.62

=====

Compound: TaAl4Ga
Source: Alexandria via LeMat-Bulk
Functional: PBE
Structure: optimized geometry

energy relative to the elements	-0.0810	eV per atom
total magnetic moment	0.000	Bohr magnetons per cell
relative energy among the computed polymorphs	0	kJ/mol of formula units
calculated total energy	-30.336	eV per formula unit
symmetry	No. 36

a = 5.0569 Å, b = 5.0569 Å, c = 9.2244 Å
α = 90.00°, β = 90.00°, γ = 123.34°
With the nearest neighbours (Å) after each atom.
Positions (direct):
Ta 0.1688 0.8312 0.5000  9 Al 2.74-2.89, 1 Ga 2.82
Ta 0.8312 0.1688 0.0000  9 Al 2.74-2.89, 1 Ga 2.82
Al 0.0038 0.9962 0.2461  5 Al 2.69-2.88, 2 Ta 2.74-2.76, 3 Ga 2.82-2.98
Al 0.1553 0.8447 0.9938  1 Ga 2.63, 5 Al 2.67-2.73, 3 Ta 2.87-2.89
Al 0.3268 0.6732 0.2310  6 Al 2.67-2.88, 2 Ga 2.79, 1 Ta 2.85
Al 0.4899 0.5101 0.4978  2 Ga 2.69-2.83, 4 Al 2.70-2.86, 3 Ta 2.86-2.88
Al 0.5101 0.4899 0.9978  2 Ga 2.69-2.83, 4 Al 2.70-2.86, 3 Ta 2.86-2.88
Al 0.6732 0.3268 0.7310  6 Al 2.67-2.88, 2 Ga 2.79, 1 Ta 2.85
Al 0.8447 0.1553 0.4938  1 Ga 2.63, 5 Al 2.67-2.73, 3 Ta 2.87-2.89
Al 0.9962 0.0038 0.7461  5 Al 2.69-2.88, 2 Ta 2.74-2.76, 3 Ga 2.82-2.98
Ga 0.3300 0.6700 0.7634  7 Al 2.63-2.83, 1 Ta 2.82
Ga 0.6700 0.3300 0.2634  7 Al 2.63-2.83, 1 Ta 2.82

=====

Q: The lowest energy relative to the elements belongs to which entry?
A: TaAl4Ga

=====

Q: What is the total magnetic moment in the first record?
A: 0.000 Bohr magnetons per cell